No. 1
First-principles (PBE-GGA) data for a geometry-optimized MgReSe structure, as listed in Alexandria via LeMat-Bulk.

Structure (CIF):
```
data_MgReSe
_space_group_name_H-M_alt 'F m m 2'
_space_group_IT_number 42
_space_group_name_Hall 'F 2 -2'
_cell_length_a 3.108
_cell_length_b 5.163
_cell_length_c 13.271
_cell_angle_alpha 90.00
_cell_angle_beta 90.00
_cell_angle_gamma 90.00
loop_
_atom_site_label
_atom_site_type_symbol
_atom_site_fract_x
_atom_site_fract_y
_atom_site_fract_z
Mg1 Mg 0.000 0.000 0.000
Re1 Re 0.000 0.000 0.669
Se1 Se 0.000 0.000 0.316
```

Results
Energy relative to the lowest polymorph listed for this composition = 393 meV per atom
Calculated volume = 17.745 Å³/atom
Uncorrected formation energy = 1.40 eV/f.u.

=====

No. 2
First-principles (PBE-GGA) data for a geometry-optimized MgReSe2 structure, as listed in Alexandria via LeMat-Bulk.

Structure (CIF):
```
data_MgReSe2
_space_group_name_H-M_alt 'C m m m'
_space_group_IT_number 65
_space_group_name_Hall '-C 2 2'
_cell_length_a 3.312
_cell_length_b 6.010
_cell_length_c 7.886
_cell_angle_alpha 90.00
_cell_angle_beta 90.00
_cell_angle_gamma 90.00
loop_
_atom_site_label
_atom_site_type_symbol
_atom_site_fract_x
_atom_site_fract_y
_atom_site_fract_z
Mg1 Mg 0.000 0.000 0.000
Re1 Re 0.000 0.000 0.500
Se1 Se 0.000 0.500 0.261
```

Results
Calculated volume = 19.620 Å³/atom
Uncorrected formation energy = 1.41 eV/f.u.

=====

No. 3
First-principles (PBE-GGA) data for a geometry-optimized MgReSe structure, as listed in Alexandria via LeMat-Bulk.

Structure (CIF):
```
data_MgReSe
_space_group_name_H-M_alt 'P 3 m 1'
_space_group_IT_number 156
_space_group_name_Hall 'P 3 -2"'
_cell_length_a 3.1521
_cell_length_b 3.1521
_cell_length_c 6.2944
_cell_angle_alpha 90.00
_cell_angle_beta 90.00
_cell_angle_gamma 120.00
loop_
_atom_site_label
_atom_site_type_symbol
_atom_site_fract_x
_atom_site_fract_y
_atom_site_fract_z
Mg1 Mg 0.0000 0.0000 0.0000
Re1 Re 0.3333 0.6667 0.3402
Se1 Se 0.6667 0.3333 0.6074
```

Results
Energy relative to the lowest polymorph listed for this composition = 0 meV per atom
Calculated volume = 18.054 Å³/atom
Uncorrected formation energy = 0.22 eV/f.u.

=====

No. 4
First-principles (PBE-GGA) data for a geometry-optimized MgReSe2 structure, as listed in Alexandria via LeMat-Bulk.

Structure (CIF):
```
data_MgReSe2
_space_group_name_H-M_alt 'I m m m'
_space_group_IT_number 71
_space_group_name_Hall '-I 2 2'
_cell_length_a 3.387
_cell_length_b 4.544
_cell_length_c 12.231
_cell_angle_alpha 90.00
_cell_angle_beta 90.00
_cell_angle_gamma 90.00
loop_
_atom_site_label
_atom_site_type_symbol
_atom_site_fract_x
_atom_site_fract_y
_atom_site_fract_z
Mg1 Mg 0.000 0.000 0.000
Re1 Re 0.000 0.000 0.500
Se1 Se 0.000 0.500 0.149
```

Results
Calculated volume = 23.526 Å³/atom
Uncorrected formation energy = -0.22 eV/f.u.

=====

No. 5
First-principles (PBE-GGA) data for a geometry-optimized MgReSe2 structure, as listed in Alexandria via LeMat-Bulk.

Structure (CIF):
```
data_MgReSe2
_space_group_name_H-M_alt 'C 1 2/m 1'
_space_group_IT_number 12
_space_group_name_Hall '-C 2y'
_cell_length_a 7.433
_cell_length_b 3.370
_cell_length_c 6.159
_cell_angle_alpha 90.00
_cell_angle_beta 106.00
_cell_angle_gamma 90.00
loop_
_atom_site_label
_atom_site_type_symbol
_atom_site_fract_x
_atom_site_fract_y
_atom_site_fract_z
Mg1 Mg 0.000 0.000 0.000
Re1 Re 0.000 0.500 0.500
Se1 Se 0.250 0.000 0.720
```

Results
Calculated volume = 18.537 Å³/atom
Uncorrected formation energy = -0.19 eV/f.u.

=====

No. 6
First-principles (PBE-GGA) data for a geometry-optimized Mg2ReSe structure, as listed in Alexandria via LeMat-Bulk.

Structure (CIF):
```
data_Mg2ReSe
_space_group_name_H-M_alt 'I m m 2'
_space_group_IT_number 44
_space_group_name_Hall 'I 2 -2'
_cell_length_a 3.059
_cell_length_b 4.689
_cell_length_c 11.084
_cell_angle_alpha 90.00
_cell_angle_beta 90.00
_cell_angle_gamma 90.00
loop_
_atom_site_label
_atom_site_type_symbol
_atom_site_fract_x
_atom_site_fract_y
_atom_site_fract_z
Mg1 Mg 0.000 0.000 0.000
Mg2 Mg 0.000 0.500 0.175
Re1 Re 0.000 0.000 0.458
Se1 Se 0.000 0.500 0.784
```

Results
Calculated volume = 19.869 Å³/atom
Uncorrected formation energy = 0.32 eV/f.u.

=====

No. 7
First-principles (PBE-GGA) data for a geometry-optimized Mg2ReSe structure, as listed in Alexandria via LeMat-Bulk.

Structure (CIF):
```
data_Mg2ReSe
_space_group_name_H-M_alt 'I m m m'
_space_group_IT_number 71
_space_group_name_Hall '-I 2 2'
_cell_length_a 3.317
_cell_length_b 4.561
_cell_length_c 9.092
_cell_angle_alpha 90.00
_cell_angle_beta 90.00
_cell_angle_gamma 90.00
loop_
_atom_site_label
_atom_site_type_symbol
_atom_site_fract_x
_atom_site_fract_y
_atom_site_fract_z
Mg1 Mg 0.000 0.000 0.241
Re1 Re 0.000 0.500 0.000
Se1 Se 0.000 0.500 0.500
```

Results
Calculated volume = 17.194 Å³/atom
Uncorrected formation energy = 1.46 eV/f.u.

=====

No. 8
First-principles (PBE-GGA) data for a geometry-optimized MgRe3Se structure, as listed in Alexandria via LeMat-Bulk.

Structure (CIF):
```
data_MgRe3Se
_space_group_name_H-M_alt 'P m -3 m'
_space_group_IT_number 221
_space_group_name_Hall '-P 4 2 3'
_cell_length_a 4.553
_cell_length_b 4.553
_cell_length_c 4.553
_cell_angle_alpha 90.00
_cell_angle_beta 90.00
_cell_angle_gamma 90.00
loop_
_atom_site_label
_atom_site_type_symbol
_atom_site_fract_x
_atom_site_fract_y
_atom_site_fract_z
Mg1 Mg 0.000 0.000 0.000
Re1 Re 0.000 0.000 0.500
Se1 Se 0.500 0.500 0.500
```

Results
Energy relative to the lowest polymorph listed for this composition = 1236 meV per atom
Calculated volume = 18.870 Å³/atom
Uncorrected formation energy = 13.58 eV/f.u.

=====

No. 9
First-principles (PBE-GGA) data for a geometry-optimized MgReSe2 structure, as listed in Alexandria via LeMat-Bulk.

Structure (CIF):
```
data_MgReSe2
_space_group_name_H-M_alt 'F -4 3 m'
_space_group_IT_number 216
_space_group_name_Hall 'F -4 2 3'
_cell_length_a 6.585
_cell_length_b 6.585
_cell_length_c 6.585
_cell_angle_alpha 90.00
_cell_angle_beta 90.00
_cell_angle_gamma 90.00
loop_
_atom_site_label
_atom_site_type_symbol
_atom_site_fract_x
_atom_site_fract_y
_atom_site_fract_z
Mg1 Mg 0.000 0.000 0.000
Re1 Re 0.250 0.250 0.250
Se1 Se 0.000 0.000 0.500
Se2 Se 0.250 0.250 0.750
```

Results
Calculated volume = 17.843 Å³/atom
Uncorrected formation energy = 3.28 eV/f.u.

=====

No. 10
First-principles (PBE-GGA) data for a geometry-optimized MgReSe structure, as listed in Alexandria via LeMat-Bulk.

Structure (CIF):
```
data_MgReSe
_space_group_name_H-M_alt 'C 1 2/m 1'
_space_group_IT_number 12
_space_group_name_Hall '-C 2y'
_cell_length_a 9.810
_cell_length_b 4.421
_cell_length_c 8.087
_cell_angle_alpha 90.00
_cell_angle_beta 120.64
_cell_angle_gamma 90.00
loop_
_atom_site_label
_atom_site_type_symbol
_atom_site_fract_x
_atom_site_fract_y
_atom_site_fract_z
Mg1 Mg 0.203 0.000 0.079
Re1 Re 0.015 0.500 0.151
Se1 Se 0.068 0.000 0.298
```

Results
Energy relative to the lowest polymorph listed for this composition = 16 meV per atom
Calculated volume = 25.145 Å³/atom
Uncorrected formation energy = 0.27 eV/f.u.

=====

No. 11
First-principles (PBE-GGA) data for a geometry-optimized Mg2ReSe structure, as listed in Alexandria via LeMat-Bulk.

Structure (CIF):
```
data_Mg2ReSe
_space_group_name_H-M_alt 'F -4 3 m'
_space_group_IT_number 216
_space_group_name_Hall 'F -4 2 3'
_cell_length_a 6.516
_cell_length_b 6.516
_cell_length_c 6.516
_cell_angle_alpha 90.00
_cell_angle_beta 90.00
_cell_angle_gamma 90.00
loop_
_atom_site_label
_atom_site_type_symbol
_atom_site_fract_x
_atom_site_fract_y
_atom_site_fract_z
Mg1 Mg 0.000 0.000 0.000
Mg2 Mg 0.250 0.250 0.250
Re1 Re 0.250 0.250 0.750
Se1 Se 0.000 0.000 0.500
```

Results
Calculated volume = 17.293 Å³/atom
Uncorrected formation energy = 2.04 eV/f.u.

=====

No. 12
First-principles (PBE-GGA) data for a geometry-optimized MgRe3Se structure, as listed in Alexandria via LeMat-Bulk.

Structure (CIF):
```
data_MgRe3Se
_space_group_name_H-M_alt 'P m -3 m'
_space_group_IT_number 221
_space_group_name_Hall '-P 4 2 3'
_cell_length_a 4.569
_cell_length_b 4.569
_cell_length_c 4.569
_cell_angle_alpha 90.00
_cell_angle_beta 90.00
_cell_angle_gamma 90.00
loop_
_atom_site_label
_atom_site_type_symbol
_atom_site_fract_x
_atom_site_fract_y
_atom_site_fract_z
Mg1 Mg 0.000 0.000 0.000
Re1 Re 0.000 0.500 0.500
Se1 Se 0.500 0.500 0.500
```

Results
Energy relative to the lowest polymorph listed for this composition = 0 meV per atom
Calculated volume = 19.077 Å³/atom
Uncorrected formation energy = 7.40 eV/f.u.